--- A ---
A geometry-optimized Ba2CdBiO structure, computed with PBE.

a = 4.8540 Å, b = 6.8820 Å, c = 11.0040 Å
α = 109.02°, β = 90.00°, γ = 90.00°
With the nearest neighbours (Å) after each atom.
Fractional coordinates of all 10 atoms:
Ba: 0.7500 0.7742 0.5574  3 Cd 3.57-3.66, 4 Bi 3.61-3.88
Ba: 0.7500 0.7992 0.0380  3 O 2.54-2.64
Ba: 0.2500 0.2258 0.4426  3 Cd 3.57-3.66, 4 Bi 3.61-3.88
Ba: 0.2500 0.2008 0.9620  3 O 2.54-2.64
Cd: 0.2500 0.6095 0.7527  1 O 2.19
Cd: 0.7500 0.3905 0.2473  1 O 2.19
Bi: 0.7500 0.3269 0.6990  2 Cd 3.05
Bi: 0.2500 0.6731 0.3010  2 Cd 3.05
O: 0.2500 0.8254 0.9492  1 Cd 2.19
O: 0.7500 0.1746 0.0508  1 Cd 2.19

Total magnetization   0.000 μB per atom



--- B ---
A geometry-optimized Ba2CdBiO structure, computed with PBE.

a = 5.4849 Å, b = 5.4849 Å, c = 5.0860 Å
α = 90.00°, β = 90.00°, γ = 90.00°
With the nearest neighbours (Å) after each atom.
Fractional coordinates of all 5 atoms:
Ba: 0.5000 0.0000 0.0000  2 O 2.74
Ba: 0.0000 0.5000 0.0000  2 O 2.74
Cd: 0.0000 0.0000 0.5000  2 O 2.54
Bi: 0.5000 0.5000 0.5000  8 Ba 3.74, 4 Cd 3.88
O: 0.0000 0.0000 0.0000  2 Cd 2.54, 4 Ba 2.74

Total magnetization   0.000 μB per atom



Of them, the most stable is A and the least stable is B.



--- A ---
A geometry-optimized BaCeBi structure, computed with PBE.

a = 4.8797 Å, b = 4.8797 Å, c = 9.6964 Å
α = 90.00°, β = 90.00°, γ = 90.00°
With the nearest neighbours (Å) after each atom.
Fractional coordinates of all 6 atoms:
Ba: 0.0000 0.5000 0.8505  5 Bi 3.59-3.88
Ba: 0.5000 0.0000 0.1495  5 Bi 3.59-3.88
Bi: 0.5000 0.0000 0.7492  4 Ce 3.43, 4 Ba 3.59
Bi: 0.0000 0.5000 0.2508  4 Ce 3.43, 4 Ba 3.59
Ce: 0.5000 0.5000 0.5000  4 Bi 3.43, 4 Ce 3.45
Ce: 0.0000 0.0000 0.5000  4 Bi 3.43, 4 Ce 3.45

Total magnetization   0.415 μB per atom



--- B ---
A geometry-optimized BaCeBi structure, computed with PBE.

a = 4.8070 Å, b = 5.4951 Å, c = 5.4951 Å
α = 120.00°, β = 90.00°, γ = 90.00°
With the nearest neighbours (Å) after each atom.
Fractional coordinates of all 3 atoms:
Ba: 0.6613 0.6667 0.3333  6 Bi 3.91-4.05, 6 Ce 3.96-4.00
Bi: 0.1844 0.3333 0.6667  3 Ce 3.18
Ce: 0.1543 0.0000 0.0000  3 Bi 3.18

Total magnetization   0.623 μB per atom



Of them, the most stable is A and the least stable is B.



--- A ---
A geometry-optimized BaSrCeBiO6 structure, computed with PBE.

a = 6.1424 Å, b = 6.2700 Å, c = 8.7677 Å
α = 89.78°, β = 89.87°, γ = 89.85°
With the nearest neighbours (Å) after each atom.
Fractional coordinates of all 20 atoms:
Bi: 0.5000 0.0000 0.5000  6 O 2.33-2.37
Bi: 0.0000 0.5000 0.0000  6 O 2.16-2.19
O: 0.2119 0.7714 0.0428  1 Bi 2.18, 1 Ce 2.31
O: 0.1945 0.7869 0.4601  1 Ce 2.19, 1 Bi 2.33
O: 0.5747 0.9523 0.2365  1 Ce 2.14, 1 Bi 2.37
O: 0.2933 0.3096 0.4463  1 Ce 2.21, 1 Bi 2.36
O: 0.4253 0.0477 0.7635  1 Ce 2.14, 1 Bi 2.37
O: 0.1010 0.5118 0.7641  1 Bi 2.16, 1 Ce 2.40
O: 0.8990 0.4882 0.2359  1 Bi 2.16, 1 Ce 2.40
O: 0.7067 0.6904 0.5537  1 Ce 2.21, 1 Bi 2.36
O: 0.8055 0.2131 0.5399  1 Ce 2.19, 1 Bi 2.33
O: 0.2756 0.2929 0.0561  1 Bi 2.19, 1 Ce 2.35
O: 0.7881 0.2286 0.9572  1 Bi 2.18, 1 Ce 2.31
O: 0.7244 0.7071 0.9439  1 Bi 2.19, 1 Ce 2.35
Ba: 0.0067 0.0355 0.2532  5 O 2.65-2.92
Ba: 0.9933 0.9645 0.7468  5 O 2.65-2.92
Sr: 0.5167 0.4572 0.7472  4 O 2.52-2.66
Sr: 0.4833 0.5428 0.2528  4 O 2.52-2.66
Ce: 0.5000 0.0000 0.0000  6 O 2.14-2.35
Ce: 0.0000 0.5000 0.5000  6 O 2.19-2.40

Total magnetization   0.000 μB per atom



--- B ---
A geometry-optimized BaSrCeBiO6 structure, computed with PBE.

a = 6.2638 Å, b = 6.2638 Å, c = 6.2638 Å
α = 60.00°, β = 60.00°, γ = 60.00°
With the nearest neighbours (Å) after each atom.
Fractional coordinates of all 10 atoms:
O: 0.7494 0.2506 0.2506  1 Ce 2.21, 1 Bi 2.22
O: 0.7494 0.2506 0.7494  1 Ce 2.21, 1 Bi 2.22
O: 0.2506 0.7494 0.2506  1 Ce 2.21, 1 Bi 2.22
O: 0.2506 0.7494 0.7494  1 Ce 2.21, 1 Bi 2.22
O: 0.7494 0.7494 0.2506  1 Ce 2.21, 1 Bi 2.22
O: 0.2506 0.2506 0.7494  1 Ce 2.21, 1 Bi 2.22
Ba: 0.2500 0.2500 0.2500  12 O 3.13
Ce: 0.5000 0.5000 0.5000  6 O 2.21
Bi: 0.0000 0.0000 0.0000  6 O 2.22
Sr: 0.7500 0.7500 0.7500  12 O 3.13

Total magnetization   0.000 μB per atom



Of them, the most stable is A and the least stable is B.



--- A ---
A geometry-optimized Ba4Bi2Cl structure, computed with PBE.

a = 9.2294 Å, b = 9.2294 Å, c = 9.2294 Å
α = 111.70°, β = 105.09°, γ = 111.70°
With the nearest neighbours (Å) after each atom.
Fractional coordinates of all 14 atoms:
Cl: 0.7500 0.5000 0.2500  4 Ba 3.32
Cl: 0.0000 0.0000 0.0000  4 Ba 3.32
Ba: 0.6290 0.7716 0.0070  1 Cl 3.32, 2 Bi 3.50-3.53
Ba: 0.1426 0.3780 0.3710  1 Cl 3.32, 2 Bi 3.50-3.53
Ba: 0.1210 0.8780 0.3926  1 Cl 3.32, 2 Bi 3.50-3.53
Ba: 0.6074 0.7284 0.4854  1 Cl 3.32, 2 Bi 3.50-3.53
Ba: 0.7570 0.2716 0.8790  1 Cl 3.32, 2 Bi 3.50-3.53
Ba: 0.2354 0.2284 0.8574  1 Cl 3.32, 2 Bi 3.50-3.53
Ba: 0.9930 0.6220 0.7646  1 Cl 3.32, 2 Bi 3.50-3.53
Ba: 0.5146 0.1220 0.2430  1 Cl 3.32, 2 Bi 3.50-3.53
Bi: 0.8750 0.1231 0.4981  8 Ba 3.50-3.87
Bi: 0.3750 0.8769 0.7519  8 Ba 3.50-3.87
Bi: 0.2481 0.6231 0.1250  8 Ba 3.50-3.87
Bi: 0.5019 0.3769 0.6250  8 Ba 3.50-3.87

Total magnetization   0.114 μB per atom



--- B ---
A geometry-optimized Ba4Bi2Cl structure, computed with PBE.

a = 5.8327 Å, b = 5.8327 Å, c = 10.2158 Å
α = 106.59°, β = 106.59°, γ = 90.00°
With the nearest neighbours (Å) after each atom.
Fractional coordinates of all 7 atoms:
Bi: 0.6304 0.6304 0.2608  5 Ba 3.48-3.80
Bi: 0.3696 0.3696 0.7392  5 Ba 3.48-3.80
Cl: 0.0000 0.0000 0.0000  4 Ba 2.92
Ba: 0.5000 0.0000 0.0000  2 Cl 2.92
Ba: 0.8164 0.8164 0.6328  1 Cl 3.43, 1 Bi 3.48
Ba: 0.0000 0.5000 0.0000  2 Cl 2.92
Ba: 0.1836 0.1836 0.3672  1 Cl 3.43, 1 Bi 3.48

Total magnetization   0.000 μB per atom



Of them, the most stable is A and the least stable is B.



--- A ---
A geometry-optimized BaBi2Cl structure, computed with PBE.

a = 5.8059 Å, b = 5.8059 Å, c = 5.8059 Å
α = 60.00°, β = 60.00°, γ = 60.00°
With the nearest neighbours (Å) after each atom.
Fractional coordinates of all 4 atoms:
Cl: 0.0000 0.0000 0.0000  8 Bi 3.56
Bi: 0.2500 0.2500 0.2500  4 Ba 3.56, 4 Cl 3.56
Bi: 0.7500 0.7500 0.7500  4 Cl 3.56, 4 Ba 3.56
Ba: 0.5000 0.5000 0.5000  8 Bi 3.56

Total magnetization   0.000 μB per atom



--- B ---
A geometry-optimized BaBi2Cl structure, computed with PBE.

a = 4.5521 Å, b = 4.5521 Å, c = 14.6798 Å
α = 81.08°, β = 81.08°, γ = 90.00°
With the nearest neighbours (Å) after each atom.
Fractional coordinates of all 8 atoms:
Cl: 0.5000 0.5000 0.0000  4 Ba 3.22
Cl: 0.2500 0.7500 0.5000  4 Ba 3.22
Bi: 0.6495 0.6250 0.2500  4 Bi 3.07-3.38
Bi: 0.3750 0.8995 0.7500  4 Bi 3.07-3.38
Bi: 0.1005 0.1250 0.2500  4 Bi 3.07-3.38
Bi: 0.8750 0.3505 0.7500  4 Bi 3.07-3.38
Ba: 0.7500 0.2500 0.5000  4 Cl 3.22
Ba: 0.0000 0.0000 0.0000  4 Cl 3.22

Total magnetization   0.000 μB per atom



Of them, the most stable is B and the least stable is A.



--- A ---
A geometry-optimized BaCu2BiCl structure, computed with PBE.

a = 5.8300 Å, b = 5.5822 Å, c = 5.8300 Å
α = 90.00°, β = 90.00°, γ = 90.00°
With the nearest neighbours (Å) after each atom.
Fractional coordinates of all 5 atoms:
Bi: 0.5000 0.5000 0.5000  8 Cu 4.04, 4 Cl 4.12
Cl: 0.0000 0.5000 0.0000  2 Ba 2.79
Cu: 0.5000 0.0000 0.0000  2 Ba 2.92
Cu: 0.0000 0.0000 0.5000  2 Ba 2.92
Ba: 0.0000 0.0000 0.0000  2 Cl 2.79, 4 Cu 2.92

Total magnetization   0.240 μB per atom



--- B ---
A geometry-optimized BaCu2BiCl structure, computed with PBE.

a = 4.9744 Å, b = 5.9102 Å, c = 4.9744 Å
α = 90.00°, β = 90.00°, γ = 90.00°
With the nearest neighbours (Å) after each atom.
Fractional coordinates of all 5 atoms:
Cu: 0.0000 0.0000 0.5000  2 Cl 2.49
Cu: 0.5000 0.0000 0.0000  2 Cl 2.49
Ba: 0.5000 0.5000 0.5000  4 Bi 3.52, 8 Cu 3.86
Bi: 0.0000 0.5000 0.0000  2 Cl 2.96
Cl: 0.0000 0.0000 0.0000  4 Cu 2.49

Total magnetization   0.000 μB per atom



Of them, the most stable is B and the least stable is A.



--- A ---
A geometry-optimized Ba2BiOsCl structure, computed with PBE.

a = 6.7456 Å, b = 5.4476 Å, c = 6.7456 Å
α = 90.00°, β = 90.00°, γ = 90.00°
With the nearest neighbours (Å) after each atom.
Fractional coordinates of all 5 atoms:
Ba: 0.5000 0.0000 0.0000  2 Bi 3.37
Ba: 0.0000 0.0000 0.5000  2 Bi 3.37
Cl: 0.0000 0.5000 0.0000  2 Bi 2.72
Os: 0.5000 0.5000 0.5000  8 Ba 4.34, 4 Cl 4.77
Bi: 0.0000 0.0000 0.0000  2 Cl 2.72

Total magnetization   0.442 μB per atom



--- B ---
A geometry-optimized Ba2BiOsCl structure, computed with PBE.

a = 6.7232 Å, b = 5.0043 Å, c = 6.7232 Å
α = 90.00°, β = 90.00°, γ = 90.00°
With the nearest neighbours (Å) after each atom.
Fractional coordinates of all 5 atoms:
Cl: 0.5000 0.5000 0.5000  8 Ba 4.19
Os: 0.0000 0.5000 0.0000  2 Bi 2.50
Ba: 0.5000 0.0000 0.0000  2 Bi 3.36
Ba: 0.0000 0.0000 0.5000  2 Bi 3.36
Bi: 0.0000 0.0000 0.0000  2 Os 2.50

Total magnetization   0.101 μB per atom



Of them, the most stable is B and the least stable is A.



--- A ---
A geometry-optimized BaBiPCl2 structure, computed with PBE.

a = 5.6670 Å, b = 5.6670 Å, c = 6.5262 Å
α = 90.00°, β = 90.00°, γ = 90.00°
With the nearest neighbours (Å) after each atom.
Fractional coordinates of all 5 atoms:
Cl: 0.5000 0.0000 0.0000  2 Ba 2.83
Cl: 0.0000 0.5000 0.0000  2 Ba 2.83
Ba: 0.0000 0.0000 0.0000  4 Cl 2.83
Bi: 0.5000 0.5000 0.5000  4 P 4.01, 8 Cl 4.32
P: 0.0000 0.0000 0.5000  2 Ba 3.26

Total magnetization   0.291 μB per atom



--- B ---
A geometry-optimized BaBiPCl2 structure, computed with PBE.

a = 5.5280 Å, b = 5.5280 Å, c = 5.3790 Å
α = 90.00°, β = 90.00°, γ = 90.00°
With the nearest neighbours (Å) after each atom.
Fractional coordinates of all 5 atoms:
P: 0.0000 0.0000 0.5000  2 Bi 2.69
Cl: 0.0000 0.5000 0.0000  2 Bi 2.76
Cl: 0.5000 0.0000 0.0000  2 Bi 2.76
Bi: 0.0000 0.0000 0.0000  2 P 2.69, 4 Cl 2.76
Ba: 0.5000 0.5000 0.5000  8 Cl 3.86, 4 P 3.91

Total magnetization   0.000 μB per atom



Of them, the most stable is B and the least stable is A.



--- A ---
A geometry-optimized BaBiSCl2 structure, computed with PBE.

a = 5.7658 Å, b = 5.7658 Å, c = 6.2721 Å
α = 90.00°, β = 90.00°, γ = 90.00°
With the nearest neighbours (Å) after each atom.
Fractional coordinates of all 5 atoms:
S: 0.0000 0.0000 0.5000  2 Ba 3.14
Cl: 0.0000 0.5000 0.0000  2 Ba 2.88
Cl: 0.5000 0.0000 0.0000  2 Ba 2.88
Bi: 0.5000 0.5000 0.5000  4 S 4.08, 8 Cl 4.26
Ba: 0.0000 0.0000 0.0000  4 Cl 2.88, 2 S 3.14

Total magnetization   0.199 μB per atom



--- B ---
A geometry-optimized BaBiSCl2 structure, computed with PBE.

a = 5.5399 Å, b = 5.5399 Å, c = 5.5394 Å
α = 90.00°, β = 90.00°, γ = 90.00°
With the nearest neighbours (Å) after each atom.
Fractional coordinates of all 5 atoms:
Cl: 0.5000 0.0000 0.0000  2 Bi 2.77
Cl: 0.0000 0.5000 0.0000  2 Bi 2.77
Ba: 0.5000 0.5000 0.5000  8 Cl 3.92, 4 S 3.92
S: 0.0000 0.0000 0.5000  2 Bi 2.77
Bi: 0.0000 0.0000 0.0000  2 S 2.77, 4 Cl 2.77

Total magnetization   0.000 μB per atom



Of them, the most stable is B and the least stable is A.



--- A ---
A geometry-optimized BaCr3Bi structure, computed with PBE.

a = 5.4509 Å, b = 5.4509 Å, c = 5.4509 Å
α = 90.00°, β = 90.00°, γ = 90.00°
With the nearest neighbours (Å) after each atom.
Fractional coordinates of all 5 atoms:
Cr: 0.0000 0.5000 0.0000  2 Bi 2.73
Cr: 0.5000 0.0000 0.0000  2 Bi 2.73
Cr: 0.0000 0.0000 0.5000  2 Bi 2.73
Ba: 0.5000 0.5000 0.5000  12 Cr 3.85
Bi: 0.0000 0.0000 0.0000  6 Cr 2.73

Total magnetization   2.663 μB per atom



--- B ---
A geometry-optimized BaCr3Bi structure, computed with PBE.

a = 5.2827 Å, b = 5.2827 Å, c = 5.2827 Å
α = 90.00°, β = 90.00°, γ = 90.00°
With the nearest neighbours (Å) after each atom.
Fractional coordinates of all 5 atoms:
Cr: 0.0000 0.5000 0.0000  2 Ba 2.64
Cr: 0.0000 0.0000 0.5000  2 Ba 2.64
Cr: 0.5000 0.0000 0.0000  2 Ba 2.64
Bi: 0.5000 0.5000 0.5000  12 Cr 3.74
Ba: 0.0000 0.0000 0.0000  6 Cr 2.64

Total magnetization   2.433 μB per atom



Of them, the most stable is A and the least stable is B.



--- A ---
A geometry-optimized BaCrBiRh2 structure, computed with PBE.

a = 5.1478 Å, b = 5.0122 Å, c = 5.1478 Å
α = 90.00°, β = 90.00°, γ = 90.00°
With the nearest neighbours (Å) after each atom.
Fractional coordinates of all 5 atoms:
Cr: 0.0000 0.5000 0.0000  2 Bi 2.51
Ba: 0.5000 0.5000 0.5000  8 Rh 3.59, 4 Cr 3.64
Rh: 0.0000 0.0000 0.5000  2 Bi 2.57
Rh: 0.5000 0.0000 0.0000  2 Bi 2.57
Bi: 0.0000 0.0000 0.0000  2 Cr 2.51, 4 Rh 2.57

Total magnetization   0.050 μB per atom



--- B ---
A geometry-optimized BaCrBiRh2 structure, computed with PBE.

a = 4.6915 Å, b = 5.7216 Å, c = 4.6915 Å
α = 90.00°, β = 90.00°, γ = 90.00°
With the nearest neighbours (Å) after each atom.
Fractional coordinates of all 5 atoms:
Rh: 0.5000 0.0000 0.0000  2 Cr 2.35
Rh: 0.0000 0.0000 0.5000  2 Cr 2.35
Bi: 0.5000 0.5000 0.5000  4 Ba 3.32, 8 Rh 3.70
Cr: 0.0000 0.0000 0.0000  4 Rh 2.35
Ba: 0.0000 0.5000 0.0000  2 Cr 2.86

Total magnetization   0.390 μB per atom



Of them, the most stable is B and the least stable is A.



--- A ---
A geometry-optimized CsBa3Bi structure, computed with PBE.

a = 7.0230 Å, b = 7.0230 Å, c = 7.0230 Å
α = 90.00°, β = 90.00°, γ = 90.00°
With the nearest neighbours (Å) after each atom.
Fractional coordinates of all 5 atoms:
Ba: 0.5000 0.0000 0.0000  2 Bi 3.51
Ba: 0.0000 0.5000 0.0000  2 Bi 3.51
Ba: 0.0000 0.0000 0.5000  2 Bi 3.51
Cs: 0.5000 0.5000 0.5000  12 Ba 4.97
Bi: 0.0000 0.0000 0.0000  6 Ba 3.51

Total magnetization   0.000 μB per atom



--- B ---
A geometry-optimized CsBa3Bi structure, computed with PBE.

a = 6.3391 Å, b = 6.3391 Å, c = 6.3391 Å
α = 90.00°, β = 90.00°, γ = 90.00°
With the nearest neighbours (Å) after each atom.
Fractional coordinates of all 5 atoms:
Ba: 0.5000 0.0000 0.0000  2 Cs 3.17
Ba: 0.0000 0.0000 0.5000  2 Cs 3.17
Ba: 0.0000 0.5000 0.0000  2 Cs 3.17
Cs: 0.0000 0.0000 0.0000  6 Ba 3.17
Bi: 0.5000 0.5000 0.5000  12 Ba 4.48

Total magnetization   0.000 μB per atom



Of them, the most stable is A and the least stable is B.